## NaTaRu3 (GGA-PBE)

Data for crystalline NaTaRu3 at its relaxed geometry.

Calculated values
Space-group type: Pm-3m
D(E_F): 4.3 states/eV/cell
Formation energy from the elements: 1.30 eV per atom

Cell lengths 4.800, 4.800, 4.800 Å; angles 90.00, 90.00, 90.00 degrees
Positions (direct):
Ru 0.000 0.500 0.000
Ru 0.000 0.000 0.500
Ru 0.500 0.000 0.000
Na 0.500 0.500 0.500
Ta 0.000 0.000 0.000